1.
Entry from the Alexandria database: a relaxed Al4TeRu crystal (PBE).

The structure in POSCAR format:
```
Al4TeRu
1.0
0.0000 3.7278 3.7278
3.7278 0.0000 3.7278
3.7278 3.7278 0.0000
Al Te Ru
4 1 1
direct
0.1245 0.1245 0.1245 Al
0.1245 0.1245 0.6265 Al
0.1245 0.6265 0.1245 Al
0.6265 0.1245 0.1245 Al
0.5000 0.5000 0.5000 Te
0.7500 0.7500 0.7500 Ru
```

Values from the calculation:
Final energy   -4.276 eV per atom
ΔE_f (raw)   0.29 eV/atom
D(E_F)   0.7030 states/eV/atom


2.
Entry from the Alexandria database: a relaxed Pr12Ga3Pb5 crystal (PBE).

The structure in POSCAR format:
```
Pr12Ga3Pb5
1.0
-9.1923 9.1923 9.1923
9.1923 -9.1923 9.1923
9.1923 9.1923 -9.1923
Pr Ga Pb
48 12 20
direct
0.0624 0.2290 0.1334 Pr
0.0624 0.3334 0.9290 Pr
0.0710 0.6334 0.4044 Pr
0.0710 0.9376 0.6666 Pr
0.0956 0.7290 0.6666 Pr
0.0956 0.8666 0.4290 Pr
0.1334 0.0624 0.2290 Pr
0.1334 0.5710 0.9044 Pr
0.1666 0.2290 0.5956 Pr
0.1666 0.4376 0.5710 Pr
0.2290 0.1334 0.0624 Pr
0.2290 0.5956 0.1666 Pr
0.2710 0.3334 0.9044 Pr
0.2710 0.4376 0.3666 Pr
0.3334 0.9044 0.2710 Pr
0.3334 0.9290 0.0624 Pr
0.3666 0.2710 0.4376 Pr
0.3666 0.5956 0.9290 Pr
0.4044 0.0710 0.6334 Pr
0.4044 0.8334 0.7710 Pr
0.4290 0.0956 0.8666 Pr
0.4290 0.8334 0.5624 Pr
0.4376 0.3666 0.2710 Pr
0.4376 0.5710 0.1666 Pr
0.5624 0.4290 0.8334 Pr
0.5624 0.6334 0.7290 Pr
0.5710 0.1666 0.4376 Pr
0.5710 0.9044 0.1334 Pr
0.5956 0.1666 0.2290 Pr
0.5956 0.9290 0.3666 Pr
0.6334 0.4044 0.0710 Pr
0.6334 0.7290 0.5624 Pr
0.6666 0.0710 0.9376 Pr
0.6666 0.0956 0.7290 Pr
0.7290 0.5624 0.6334 Pr
0.7290 0.6666 0.0956 Pr
0.7710 0.4044 0.8334 Pr
0.7710 0.8666 0.9376 Pr
0.8334 0.5624 0.4290 Pr
0.8334 0.7710 0.4044 Pr
0.8666 0.4290 0.0956 Pr
0.8666 0.9376 0.7710 Pr
0.9044 0.1334 0.5710 Pr
0.9044 0.2710 0.3334 Pr
0.9290 0.0624 0.3334 Pr
0.9290 0.3666 0.5956 Pr
0.9376 0.6666 0.0710 Pr
0.9376 0.7710 0.8666 Pr
0.1250 0.2500 0.3750 Ga
0.1250 0.3750 0.7500 Ga
0.2500 0.3750 0.1250 Ga
0.2500 0.8750 0.6250 Ga
0.3750 0.1250 0.2500 Ga
0.3750 0.7500 0.1250 Ga
0.6250 0.2500 0.8750 Ga
0.6250 0.8750 0.7500 Ga
0.7500 0.1250 0.3750 Ga
0.7500 0.6250 0.8750 Ga
0.8750 0.6250 0.2500 Ga
0.8750 0.7500 0.6250 Ga
0.0000 0.0000 0.0000 Pb
0.0000 0.0000 0.5000 Pb
0.0000 0.5000 0.0000 Pb
0.0000 0.5000 0.5000 Pb
0.1250 0.7500 0.8750 Pb
0.1250 0.8750 0.2500 Pb
0.2500 0.1250 0.8750 Pb
0.2500 0.6250 0.3750 Pb
0.3750 0.2500 0.6250 Pb
0.3750 0.6250 0.7500 Pb
0.5000 0.0000 0.0000 Pb
0.5000 0.0000 0.5000 Pb
0.5000 0.5000 0.0000 Pb
0.5000 0.5000 0.5000 Pb
0.6250 0.3750 0.2500 Pb
0.6250 0.7500 0.3750 Pb
0.7500 0.3750 0.6250 Pb
0.7500 0.8750 0.1250 Pb
0.8750 0.1250 0.7500 Pb
0.8750 0.2500 0.1250 Pb
```

Values from the calculation:
Calculated formation energy   -0.006 eV/atom
Final energy   -4.255 eV per atom
D(E_F)   1.0529 states/eV/atom


3.
Entry from the Alexandria database: a relaxed Ce8Sb4Pb3 crystal (PBE).

The structure in POSCAR format:
```
Ce8Sb4Pb3
1.0
6.3782 -6.3812 0.0000
6.3782 6.3812 0.0000
-6.3078 0.0000 6.3838
Ce Sb Pb
8 4 3
direct
0.2456 0.2456 0.4940 Ce
0.2462 0.2462 0.9967 Ce
0.2476 0.7524 0.0000 Ce
0.2485 0.7515 0.5000 Ce
0.7524 0.2476 0.0000 Ce
0.7515 0.2485 0.5000 Ce
0.7538 0.7538 0.0033 Ce
0.7544 0.7544 0.5060 Ce
0.0000 0.0000 0.0000 Sb
0.0000 0.0000 0.5000 Sb
0.0000 0.5000 0.5000 Sb
0.5000 0.0000 0.5000 Sb
0.0000 0.5000 0.0000 Pb
0.5000 0.0000 0.0000 Pb
0.5000 0.5000 0.5000 Pb
```

Values from the calculation:
Final energy   -5.598 eV per atom
ΔE_f (raw)   -0.59 eV/atom
D(E_F)   3.4606 states/eV/atom


4.
Entry from the Alexandria database: a relaxed CrNi2Pb crystal (PBE).

The structure in POSCAR format:
```
CrNi2Pb
1.0
1.5014 0.8668 8.1622
-1.5014 0.8668 8.1622
0.0000 -1.7337 8.1622
Cr Ni Pb
1 2 1
direct
0.0000 0.0000 0.0000 Cr
0.2623 0.2623 0.2623 Ni
0.7377 0.7377 0.7377 Ni
0.5000 0.5000 0.5000 Pb
```

Values from the calculation:
Calculated formation energy   0.578 eV/atom
Final energy   -5.646 eV per atom
D(E_F)   1.8577 states/eV/atom


5.
Entry from the Alexandria database: a relaxed Mn2IrPb crystal (PBE).

The structure in POSCAR format:
```
Mn2IrPb
1.0
1.5013 0.8668 8.9823
-1.5013 0.8668 8.9823
0.0000 -1.7335 8.9823
Mn Ir Pb
2 1 1
direct
0.0000 0.0000 0.0000 Mn
0.2578 0.2578 0.2578 Mn
0.5229 0.5229 0.5229 Ir
0.7628 0.7628 0.7628 Pb
```

Values from the calculation:
Calculated formation energy   0.532 eV/atom
Final energy   -7.195 eV per atom
D(E_F)   0.8632 states/eV/atom


6.
Entry from the Alexandria database: a relaxed ErPu2Nb crystal (PBE).

The structure in POSCAR format:
```
ErPu2Nb
1.0
1.6379 0.9456 10.6543
-1.6379 0.9456 10.6543
0.0000 -1.8913 10.6543
Er Pu Nb
1 2 1
direct
0.0000 0.0000 0.0000 Er
0.2427 0.2427 0.2427 Pu
0.7573 0.7573 0.7573 Pu
0.5000 0.5000 0.5000 Nb
```

Values from the calculation:
Calculated formation energy   0.301 eV/atom
Energy above the lowest structure with this stoichiometry   0 meV per atom
Final energy   -10.523 eV per atom
D(E_F)   3.3592 states/eV/atom


7.
Entry from the Alexandria database: a relaxed Nb2Cr2Ag crystal (PBE).

The structure in POSCAR format:
```
Nb2Cr2Ag
1.0
7.0744 0.0000 0.0000
0.0000 7.0744 0.0000
0.0000 0.0000 3.1793
Nb Cr Ag
4 4 2
direct
0.1947 0.3053 0.0000 Nb
0.3053 0.8053 0.0000 Nb
0.6947 0.1947 0.0000 Nb
0.8053 0.6947 0.0000 Nb
0.1036 0.6036 0.5000 Cr
0.3964 0.1036 0.5000 Cr
0.6036 0.8964 0.5000 Cr
0.8964 0.3964 0.5000 Cr
0.0000 0.0000 0.5000 Ag
0.5000 0.5000 0.5000 Ag
```

Values from the calculation:
Calculated formation energy   0.338 eV/atom
Energy above the lowest structure with this stoichiometry   0 meV per atom
Final energy   -8.109 eV per atom
D(E_F)   1.1112 states/eV/atom


8.
Entry from the Alexandria database: a relaxed Ca3Ac2UP6 crystal (PBE).

The structure in POSCAR format:
```
Ca3Ac2UP6
1.0
3.6996 -6.3986 0.0000
3.6996 6.3986 0.0000
-2.5018 0.0000 6.7213
Ca Ac U P
3 2 1 6
direct
0.0000 0.0000 0.0000 Ca
0.3316 0.6684 0.0000 Ca
0.6684 0.3316 0.0000 Ca
0.1667 0.8333 0.5000 Ac
0.8333 0.1667 0.5000 Ac
0.5000 0.5000 0.5000 U
0.1196 0.4198 0.2592 P
0.2817 0.2817 0.7327 P
0.4198 0.1196 0.2592 P
0.5802 0.8804 0.7408 P
0.7183 0.7183 0.2673 P
0.8804 0.5802 0.7408 P
```

Values from the calculation:
Calculated formation energy   -1.181 eV/atom
Final energy   -6.012 eV per atom


9.
Entry from the Alexandria database: a relaxed Ce2Pu3MgP6 crystal (PBE).

The structure in POSCAR format:
```
Ce2Pu3MgP6
1.0
3.4788 -6.0259 0.0000
3.4788 6.0259 0.0000
-2.3205 0.0000 6.5371
Ce Pu Mg P
2 3 1 6
direct
0.1666 0.8334 0.0000 Ce
0.8334 0.1666 0.0000 Ce
0.0000 0.0000 0.5000 Pu
0.3340 0.6660 0.5000 Pu
0.6660 0.3340 0.5000 Pu
0.5000 0.5000 0.0000 Mg
0.0815 0.4149 0.7443 P
0.2525 0.2525 0.2580 P
0.4149 0.0815 0.7443 P
0.5851 0.9185 0.2557 P
0.7475 0.7475 0.7420 P
0.9185 0.5851 0.2557 P
```

Values from the calculation:
Calculated formation energy   -1.131 eV/atom
Final energy   -8.540 eV per atom
D(E_F)   2.5964 states/eV/atom


10.
Entry from the Alexandria database: a relaxed Be2InPt crystal (PBE).

The structure in POSCAR format:
```
Be2InPt
1.0
3.0788 0.0000 0.0000
0.0000 3.0788 0.0000
0.0000 0.0000 5.8767
Be In Pt
2 1 1
direct
0.0000 0.0000 0.0000 Be
0.5000 0.5000 0.2008 Be
0.0000 0.0000 0.4815 In
0.5000 0.5000 0.8246 Pt
```

Values from the calculation:
Calculated formation energy   -0.125 eV/atom
Final energy   -4.183 eV per atom
D(E_F)   0.3373 states/eV/atom


11.
Entry from the Alexandria database: a relaxed ErCrN2 crystal (PBE).

The structure in POSCAR format:
```
ErCrN2
1.0
1.5430 0.8909 5.3721
-1.5430 0.8909 5.3721
0.0000 -1.7817 5.3721
Er Cr N
1 1 2
direct
0.0000 0.0000 0.0000 Er
0.8250 0.8250 0.8250 Cr
0.4224 0.4224 0.4224 N
0.5685 0.5685 0.5685 N
```

Values from the calculation:
Final energy   -8.409 eV per atom
ΔE_f (raw)   -0.70 eV/atom
D(E_F)   0.6258 states/eV/atom


12.
Entry from the Alexandria database: a relaxed CdPdIO2 crystal (PBE).

The structure in POSCAR format:
```
CdPdIO2
1.0
4.1147 0.0000 0.0000
0.0000 4.1147 0.0000
0.0000 0.0000 5.5459
Cd Pd I O
1 1 1 2
direct
0.0000 0.0000 0.0000 Cd
0.5000 0.5000 0.5000 Pd
0.5000 0.5000 0.0000 I
0.0000 0.5000 0.5000 O
0.5000 0.0000 0.5000 O
```

Values from the calculation:
Energy above the lowest structure with this stoichiometry   0 meV per atom
Final energy   -3.386 eV per atom
ΔE_f (raw)   0.13 eV/atom
D(E_F)   1.4166 states/eV/atom


13.
Entry from the Alexandria database: a relaxed Tb3Sm3TmS8 crystal (PBE).

The structure in POSCAR format:
```
Tb3Sm3TmS8
1.0
3.9458 2.2781 6.4860
-3.9458 2.2781 6.4860
0.0000 -4.5562 6.4860
Tb Sm Tm S
3 3 1 8
direct
0.0000 0.5000 0.5000 Tb
0.5000 0.0000 0.5000 Tb
0.5000 0.5000 0.0000 Tb
0.0000 0.0000 0.5000 Sm
0.0000 0.5000 0.0000 Sm
0.5000 0.0000 0.0000 Sm
0.0000 0.0000 0.0000 Tm
0.2449 0.2449 0.7504 S
0.2449 0.7504 0.2449 S
0.2496 0.7551 0.7551 S
0.2524 0.2524 0.2524 S
0.7476 0.7476 0.7476 S
0.7504 0.2449 0.2449 S
0.7551 0.2496 0.7551 S
0.7551 0.7551 0.2496 S
```

Values from the calculation:
Final energy   -6.428 eV per atom
ΔE_f (raw)   -2.06 eV/atom
D(E_F)   0.4477 states/eV/atom


14.
Entry from the Alexandria database: a relaxed TbPr2Sc crystal (PBE).

The structure in POSCAR format:
```
TbPr2Sc
1.0
1.7430 1.0063 12.3223
-1.7430 1.0063 12.3223
0.0000 -2.0126 12.3223
Tb Pr Sc
1 2 1
direct
0.0000 0.0000 0.0000 Tb
0.0908 0.0908 0.0908 Pr
0.9092 0.9092 0.9092 Pr
0.5000 0.5000 0.5000 Sc
```

Values from the calculation:
Calculated formation energy   0.207 eV/atom
Energy above the lowest structure with this stoichiometry   167 meV per atom
Final energy   -4.923 eV per atom
D(E_F)   2.0661 states/eV/atom


15.
Entry from the Alexandria database: a relaxed MgCuPdSe2 crystal (PBE).

The structure in POSCAR format:
```
MgCuPdSe2
1.0
4.7334 0.0000 0.0000
0.0000 4.7334 0.0000
0.0000 0.0000 4.7366
Mg Cu Pd Se
1 1 1 2
direct
0.0000 0.0000 0.0000 Mg
0.5000 0.5000 0.5000 Cu
0.5000 0.5000 0.0000 Pd
0.0000 0.5000 0.5000 Se
0.5000 0.0000 0.5000 Se
```

Values from the calculation:
Final energy   -3.470 eV per atom
ΔE_f (raw)   0.10 eV/atom
D(E_F)   0.3124 states/eV/atom


16.
Entry from the Alexandria database: a relaxed MgSnI crystal (PBE).

The structure in POSCAR format:
```
MgSnI
1.0
14.1345 0.0000 0.0000
0.0000 1.8974 3.4298
0.0000 -1.8974 3.4298
Mg Sn I
2 2 2
direct
0.1435 0.0000 0.0000 Mg
0.8565 0.0000 0.0000 Mg
0.0000 0.6731 0.6731 Sn
0.5000 0.8468 0.8468 Sn
0.2786 0.3253 0.3253 I
0.7214 0.3253 0.3253 I
```

Values from the calculation:
Final energy   -2.645 eV per atom
ΔE_f (raw)   -0.26 eV/atom
D(E_F)   0.4344 states/eV/atom


17.
Entry from the Alexandria database: a relaxed CeErCd3 crystal (PBE).

The structure in POSCAR format:
```
CeErCd3
1.0
1.6981 -14.9153 0.0000
1.6981 14.9153 0.0000
0.0000 0.0000 5.0271
Ce Er Cd
2 2 6
direct
0.0748 0.9252 0.7500 Ce
0.9252 0.0748 0.2500 Ce
0.2157 0.7843 0.2500 Er
0.7843 0.2157 0.7500 Er
0.3225 0.6775 0.2500 Cd
0.3765 0.6235 0.7500 Cd
0.4755 0.5245 0.7500 Cd
0.5245 0.4755 0.2500 Cd
0.6235 0.3765 0.2500 Cd
0.6775 0.3225 0.7500 Cd
```

Values from the calculation:
Calculated formation energy   -0.246 eV/atom
Final energy   -2.894 eV per atom
D(E_F)   1.7489 states/eV/atom


18.
Entry from the Alexandria database: a relaxed LiPm3Ga3 crystal (PBE).

The structure in POSCAR format:
```
LiPm3Ga3
1.0
3.9401 -5.6439 0.0000
3.9401 5.6439 0.0000
-1.2051 0.0000 7.8132
Li Pm Ga
2 6 6
direct
0.2374 0.2374 0.4921 Li
0.7626 0.7626 0.5079 Li
0.1456 0.1456 0.8626 Pm
0.2629 0.7371 0.5000 Pm
0.3083 0.6917 0.0000 Pm
0.6917 0.3083 0.0000 Pm
0.7371 0.2629 0.5000 Pm
0.8544 0.8544 0.1374 Pm
0.0701 0.3440 0.2265 Ga
0.3440 0.0701 0.2265 Ga
0.4822 0.4822 0.2787 Ga
0.5178 0.5178 0.7213 Ga
0.6560 0.9299 0.7735 Ga
0.9299 0.6560 0.7735 Ga
```

Values from the calculation:
Calculated formation energy   -0.431 eV/atom
Energy above the lowest structure with this stoichiometry   62 meV per atom
Final energy   -4.038 eV per atom
D(E_F)   0.6797 states/eV/atom


19.
Entry from the Alexandria database: a relaxed MnNbNi5 crystal (PBE).

The structure in POSCAR format:
```
MnNbNi5
1.0
3.6488 0.0000 0.0000
0.0000 3.6488 0.0000
0.0000 0.0000 6.8892
Mn Nb Ni
1 1 5
direct
0.0000 0.0000 0.0000 Mn
0.5000 0.5000 0.5000 Nb
0.0000 0.0000 0.5000 Ni
0.0000 0.5000 0.2350 Ni
0.0000 0.5000 0.7650 Ni
0.5000 0.0000 0.2350 Ni
0.5000 0.0000 0.7650 Ni
```

Values from the calculation:
Calculated formation energy   0.007 eV/atom
Final energy   -6.871 eV per atom
D(E_F)   0.8962 states/eV/atom


20.
Entry from the Alexandria database: a relaxed PmDy2Tm3Se6 crystal (PBE).

The structure in POSCAR format:
```
PmDy2Tm3Se6
1.0
3.4921 -6.0843 0.0000
3.4921 6.0843 0.0000
-2.3377 0.0000 6.7106
Pm Dy Tm Se
1 2 3 6
direct
0.0000 0.0000 0.0000 Pm
0.3345 0.6655 0.0000 Dy
0.6655 0.3345 0.0000 Dy
0.1613 0.8387 0.5000 Tm
0.5000 0.5000 0.5000 Tm
0.8387 0.1613 0.5000 Tm
0.0866 0.4278 0.2607 Se
0.2547 0.2547 0.7431 Se
0.4278 0.0866 0.2607 Se
0.5722 0.9134 0.7393 Se
0.7453 0.7453 0.2569 Se
0.9134 0.5722 0.7393 Se
```

Values from the calculation:
Final energy   -5.745 eV per atom
ΔE_f (raw)   -1.72 eV/atom
D(E_F)   0.4523 states/eV/atom


21.
Entry from the Alexandria database: a relaxed CaZrIn2 crystal (PBE).

The structure in POSCAR format:
```
CaZrIn2
1.0
1.7240 0.9953 10.1452
-1.7240 0.9953 10.1452
0.0000 -1.9907 10.1452
Ca Zr In
1 1 2
direct
0.0000 0.0000 0.0000 Ca
0.5000 0.5000 0.5000 Zr
0.2466 0.2466 0.2466 In
0.7534 0.7534 0.7534 In
```

Values from the calculation:
Calculated formation energy   -0.170 eV/atom
Final energy   -4.177 eV per atom
D(E_F)   1.2239 states/eV/atom